(1)
Entry from Alexandria: a relaxed structure of CuSb2Br (PBE).

a = 3.053 Å, b = 3.844 Å, c = 8.681 Å
α = 90.00°, β = 90.00°, γ = 90.00°
Site moments in Bohr magnetons follow the coordinates.
Fractional coordinates of all 4 atoms:
Br 0.500 0.500 0.250  0.07
Cu 0.500 0.500 0.750  0.00
Sb 0.000 0.000 0.923  0.00
Sb 0.000 0.000 0.577  0.00

Values from the calculation:
Total DFT energy (no corrections) (eV/cell): -13.6
Magnetization (μB/atom): 0.022
Energy relative to the elements, uncorrected (eV/atom): 0.11
Energy above the lowest structure with this stoichiometry (meV per atom): 177
Volume (Å³/f.u.): 102

=====

(2)
Entry from Alexandria: a relaxed structure of Pr4PdCBr2 (PBE).

a = 3.971 Å, b = 7.367 Å, c = 7.766 Å
α = 107.00°, β = 90.00°, γ = 90.00°
Fractional coordinates of all 8 atoms:
Pr 0.500 0.264 0.196
Pr 0.500 0.736 0.804
Pr 0.000 0.297 0.809
Pr 0.000 0.703 0.191
Pd 0.000 0.000 0.000
C 0.500 0.500 0.000
Br 0.500 0.000 0.500
Br 0.000 0.500 0.500

Values from the calculation:
Total DFT energy (no corrections) (eV/cell): -43.7
Magnetization (μB/atom): 0.000
Energy relative to the elements, uncorrected (eV/atom): -0.85
Volume (Å³/f.u.): 217